[1]
Below is crystalline CeNp3Pa2N6 at its relaxed geometry, with properties calculated at the GGA-PBE level.

```
CeNp3Pa2N6
1.0
-2.087 -2.770 0.296
5.464 -3.910 1.926
-1.606 4.084 6.447
Np N Pa Ce
3 6 2 1
Direct
0.165 0.834 0.330 Np
0.500 0.500 0.000 Np
0.835 0.166 0.670 Np
0.002 0.265 0.004 N
0.671 0.087 0.342 N
0.998 0.735 0.996 N
0.329 0.913 0.658 N
0.334 0.417 0.669 N
0.666 0.583 0.331 N
0.833 0.667 0.666 Pa
0.167 0.333 0.334 Pa
0.500 0.000 0.000 Ce
```

Results
Space-group type: C2/m (12)

[2]
Below is crystalline SmTmSeS at its relaxed geometry, with properties calculated at the GGA-PBE level.

```
SmTmSeS
1.0
3.896 -0.001 0.000
-1.949 3.376 0.000
-1.947 -1.124 6.999
Sm S Se Tm
1 1 1 1
Direct
0.118 0.957 0.091 Sm
0.297 0.547 0.859 S
0.975 0.386 0.376 Se
0.487 0.141 0.644 Tm
```

Results
Space-group type: R3m (160)

[3]
Below is crystalline Be2ZnFe2 at its relaxed geometry, with properties calculated at the GGA-PBE level.

```
Be2ZnFe2
1.0
-4.587 -0.132 3.744
-2.422 -4.410 -3.124
1.361 -1.882 1.601
Fe Be Zn
4 4 2
Direct
0.167 0.667 0.500 Fe
0.333 0.167 0.500 Fe
0.667 0.833 0.500 Fe
0.833 0.333 0.500 Fe
0.124 0.376 0.000 Be
0.624 0.124 0.000 Be
0.876 0.624 0.000 Be
0.376 0.876 0.000 Be
0.000 0.000 0.000 Zn
0.500 0.500 0.000 Zn
```

Results
Formation energy, eV per atom: -0.05
Energy relative to the lowest polymorph listed for this composition, kJ/mol of atoms: 0.00
Space-group type: P4/mbm (127)

[4]
Below is crystalline TlTcP2 at its relaxed geometry, with properties calculated at the GGA-PBE level.

```
TlTcP2
1.0
-2.930 -0.941 0.842
0.449 -3.327 -2.158
2.528 -4.517 3.746
Tc Tl P
1 1 2
Direct
0.000 0.390 0.435 Tc
0.500 0.758 0.697 Tl
0.500 0.381 0.152 P
0.000 0.972 0.216 P
```

Results
Formation energy, eV per atom: 0.10
Energy relative to the lowest polymorph listed for this composition, kJ/mol of atoms: 17.48
Space-group type: Pm (6)

[5]
Below is crystalline MgPaAlCu at its relaxed geometry, with properties calculated at the GGA-PBE level.

```
MgPaAlCu
1.0
-3.578 1.464 2.862
-3.941 -2.712 0.502
-0.841 -2.275 4.154
Mg Al Pa Cu
1 1 1 1
Direct
0.500 0.500 0.500 Mg
0.750 0.750 0.750 Al
0.000 0.000 0.000 Pa
0.250 0.250 0.250 Cu
```

Results
Formation energy, eV per atom: 0.01
Space-group type: F-43m (216)

[6]
Below is crystalline Rb12Li3H5 at its relaxed geometry, with properties calculated at the GGA-PBE level.

```
Rb12Li3H5
1.0
-8.257 -10.679 10.720
12.521 -8.593 -8.155
6.871 12.996 9.000
Rb Li H
48 12 20
Direct
0.185 0.103 0.991 Rb
0.807 0.491 0.388 Rb
0.582 0.693 0.685 Rb
0.112 0.693 0.509 Rb
0.193 0.509 0.612 Rb
0.685 0.491 0.603 Rb
0.397 0.388 0.582 Rb
0.397 0.009 0.315 Rb
0.897 0.815 0.509 Rb
0.082 0.185 0.193 Rb
0.612 0.603 0.918 Rb
0.991 0.603 0.185 Rb
0.185 0.082 0.693 Rb
0.103 0.918 0.112 Rb
0.693 0.582 0.185 Rb
0.888 0.582 0.897 Rb
0.388 0.397 0.082 Rb
0.815 0.918 0.307 Rb
0.193 0.685 0.082 Rb
0.491 0.685 0.103 Rb
0.815 0.897 0.009 Rb
0.897 0.082 0.888 Rb
0.418 0.112 0.603 Rb
0.103 0.185 0.491 Rb
0.918 0.815 0.807 Rb
0.603 0.612 0.418 Rb
0.315 0.509 0.397 Rb
0.509 0.315 0.897 Rb
0.009 0.612 0.693 Rb
0.082 0.897 0.388 Rb
0.888 0.307 0.491 Rb
0.009 0.397 0.815 Rb
0.388 0.991 0.807 Rb
0.685 0.193 0.582 Rb
0.582 0.888 0.397 Rb
0.491 0.807 0.888 Rb
0.693 0.112 0.009 Rb
0.991 0.388 0.307 Rb
0.918 0.103 0.612 Rb
0.315 0.807 0.418 Rb
0.509 0.193 0.112 Rb
0.418 0.307 0.315 Rb
0.307 0.418 0.815 Rb
0.807 0.315 0.918 Rb
0.603 0.991 0.685 Rb
0.112 0.418 0.103 Rb
0.612 0.009 0.193 Rb
0.307 0.888 0.991 Rb
0.375 0.625 0.250 Li
0.625 0.250 0.375 Li
0.750 0.875 0.625 Li
0.125 0.875 0.750 Li
0.625 0.375 0.750 Li
0.375 0.750 0.625 Li
0.250 0.625 0.875 Li
0.250 0.125 0.375 Li
0.875 0.125 0.250 Li
0.125 0.250 0.875 Li
0.750 0.375 0.125 Li
0.875 0.750 0.125 Li
0.250 0.875 0.125 H
0.375 0.250 0.125 H
0.125 0.375 0.250 H
0.000 0.500 0.000 H
0.125 0.750 0.375 H
0.000 0.000 0.500 H
0.500 0.500 0.500 H
0.500 0.000 0.000 H
0.000 0.500 0.500 H
0.750 0.125 0.875 H
0.875 0.625 0.750 H
0.625 0.875 0.250 H
0.000 0.000 0.000 H
0.750 0.625 0.375 H
0.500 0.000 0.500 H
0.875 0.250 0.625 H
0.250 0.375 0.625 H
0.500 0.500 0.000 H
0.375 0.125 0.750 H
0.625 0.750 0.875 H
```

Results
Space-group type: Ia-3d (230)

[7]
Below is crystalline PuH2BrO6 at its relaxed geometry, with properties calculated at the GGA-PBE level.

```
PuH2BrO6
1.0
-0.433 4.720 -2.373
-4.517 -4.435 1.380
0.129 -0.038 6.072
O Pu Br H
6 1 1 2
Direct
0.569 0.224 0.194 O
0.297 0.607 0.335 O
0.078 0.183 0.675 O
0.729 0.404 0.633 O
0.471 0.808 0.795 O
0.900 0.806 0.276 O
0.000 0.497 0.475 Pu
0.959 0.983 0.967 Br
0.275 0.193 0.679 H
0.688 0.773 0.274 H
```

Results
Space-group type: P1 (1)

[8]
Below is crystalline PmNpTe2 at its relaxed geometry, with properties calculated at the GGA-PBE level.

```
PmNpTe2
1.0
-4.174 -0.596 -0.098
-1.821 -2.621 2.756
-3.220 6.449 7.231
Te Pm Np
2 1 1
Direct
0.897 0.897 0.309 Te
0.103 0.103 0.691 Te
0.000 0.000 0.000 Pm
0.500 0.500 0.500 Np
```

Results
Energy relative to the lowest polymorph listed for this composition, kJ/mol of atoms: 44.66
Space-group type: R-3m (166)

[9]
Below is crystalline Ga2SnB at its relaxed geometry, with properties calculated at the GGA-PBE level.

```
Ga2SnB
1.0
0.000 3.338 3.338
3.338 0.000 3.338
3.338 3.338 0.000
Ga Sn B
2 1 1
Direct
0.250 0.250 0.250 Ga
0.750 0.750 0.750 Ga
0.500 0.500 0.500 Sn
0.000 0.000 0.000 B
```

Results
Formation energy, eV per atom: 0.89
Energy relative to the lowest polymorph listed for this composition, kJ/mol of atoms: 60.99
Space-group type: Fm-3m (225)

[10]
Below is crystalline Ac3Al2Si4 at its relaxed geometry, with properties calculated at the GGA-PBE level.

```
Ac3Al2Si4
1.0
-0.367 -0.203 -4.280
-2.066 -5.374 2.593
-7.636 4.092 0.461
Si Ac Al
4 3 2
Direct
0.724 0.447 0.050 Si
0.276 0.553 0.950 Si
0.943 0.887 0.609 Si
0.057 0.113 0.391 Si
0.334 0.668 0.330 Ac
0.666 0.332 0.670 Ac
0.000 0.000 0.000 Ac
0.612 0.225 0.278 Al
0.388 0.775 0.722 Al
```

Results
Energy relative to the lowest polymorph listed for this composition, kJ/mol of atoms: 0.00
Space-group type: C2/m (12)

[11]
Below is crystalline Ba5Na2N at its relaxed geometry, with properties calculated at the GGA-PBE level.

```
Ba5Na2N
1.0
4.325 0.000 0.000
-2.163 13.590 0.000
0.000 0.000 15.093
Ba Na N
10 4 2
Direct
0.076 0.151 0.388 Ba
0.307 0.614 0.093 Ba
0.924 0.849 0.612 Ba
0.678 0.355 0.250 Ba
0.076 0.151 0.112 Ba
0.924 0.849 0.888 Ba
0.322 0.645 0.750 Ba
0.693 0.386 0.593 Ba
0.693 0.386 0.907 Ba
0.307 0.614 0.407 Ba
0.928 0.856 0.355 Na
0.072 0.144 0.645 Na
0.928 0.856 0.145 Na
0.072 0.144 0.855 Na
0.878 0.756 0.750 N
0.122 0.244 0.250 N
```

Results
Energy relative to the lowest polymorph listed for this composition, kJ/mol of atoms: 9.39
Space-group type: Cmcm (63)

[12]
Below is crystalline Li7TbHg4 at its relaxed geometry, with properties calculated at the GGA-PBE level.

```
Li7TbHg4
1.0
5.031 0.000 0.000
2.515 7.169 0.594
2.515 0.667 6.781
Li Hg Tb
7 4 1
Direct
0.947 0.405 0.701 Li
0.500 0.000 0.000 Li
0.214 0.129 0.444 Li
0.053 0.595 0.299 Li
0.786 0.871 0.556 Li
0.313 0.635 0.739 Li
0.687 0.365 0.261 Li
0.302 0.341 0.056 Hg
0.434 0.780 0.351 Hg
0.566 0.220 0.649 Hg
0.698 0.659 0.944 Hg
0.000 0.000 0.000 Tb
```

Results
Formation energy, eV per atom: -0.13
Space-group type: C2/m (12)

[13]
Below is crystalline MoPbCl2 at its relaxed geometry, with properties calculated at the GGA-PBE level.

```
MoPbCl2
1.0
-5.309 0.968 -0.288
-2.261 -4.639 1.605
3.810 2.913 2.491
Cl Pb Mo
2 1 1
Direct
0.000 0.000 0.000 Cl
0.500 0.500 0.000 Cl
0.750 0.250 0.500 Pb
0.250 0.750 0.500 Mo
```

Results
Energy relative to the lowest polymorph listed for this composition, kJ/mol of atoms: 63.00
Space-group type: I4/mmm (139)

[14]
Below is crystalline VAg4S5 at its relaxed geometry, with properties calculated at the GGA-PBE level.

```
VAg4S5
1.0
-4.257 5.037 -0.454
-2.446 1.762 -5.658
-6.319 -0.957 0.502
S Ag V
5 4 1
Direct
0.683 0.168 0.366 S
0.049 0.634 0.168 S
0.217 0.832 0.634 S
0.851 0.366 0.832 S
0.392 0.000 0.000 S
0.650 0.600 0.227 Ag
0.250 0.227 0.400 Ag
0.477 0.400 0.773 Ag
0.877 0.773 0.600 Ag
0.064 0.000 0.000 V
```

Results
Space-group type: I4 (79)

[15]
Below is crystalline Ba3CaTl4 at its relaxed geometry, with properties calculated at the GGA-PBE level.

```
Ba3CaTl4
1.0
4.168 0.000 0.000
0.000 4.168 0.000
0.000 0.000 16.992
Tl Ca Ba
4 1 3
Direct
0.000 0.000 0.626 Tl
0.000 0.000 0.102 Tl
0.000 0.000 0.898 Tl
0.000 0.000 0.374 Tl
0.500 0.500 0.000 Ca
0.500 0.500 0.239 Ba
0.500 0.500 0.500 Ba
0.500 0.500 0.761 Ba
```

Results
Formation energy, eV per atom: -0.41
Space-group type: P4/mmm (123)

[16]
Below is crystalline Y4SiSe2 at its relaxed geometry, with properties calculated at the GGA-PBE level.

```
Y4SiSe2
1.0
-4.188 -0.331 -0.253
0.558 -1.729 -6.982
0.744 -11.662 2.947
Y Se Si
8 4 2
Direct
0.500 0.741 0.051 Y
0.000 0.879 0.289 Y
0.000 0.121 0.711 Y
0.000 0.621 0.789 Y
0.500 0.241 0.449 Y
0.500 0.259 0.949 Y
0.000 0.379 0.211 Y
0.500 0.759 0.551 Y
0.500 0.095 0.182 Se
0.500 0.405 0.682 Se
0.500 0.595 0.318 Se
0.500 0.905 0.818 Se
0.000 0.500 0.000 Si
0.000 0.000 0.500 Si
```

Results
Energy relative to the lowest polymorph listed for this composition, kJ/mol of atoms: 3.32
Space-group type: Pbam (55)

[17]
Below is crystalline LaScTeN2 at its relaxed geometry, with properties calculated at the GGA-PBE level.

```
LaScTeN2
1.0
-3.433 1.230 -2.302
-0.761 -4.110 -1.061
-3.716 -0.652 5.193
Te N La Sc
1 2 1 1
Direct
0.000 0.000 0.500 Te
0.500 0.000 0.000 N
0.000 0.500 0.000 N
0.000 0.000 0.000 La
0.500 0.500 0.500 Sc
```

Results
Energy relative to the lowest polymorph listed for this composition, kJ/mol of atoms: 50.26
Space-group type: P4/mmm (123)

[18]
Below is crystalline PuScHg6 at its relaxed geometry, with properties calculated at the GGA-PBE level.

```
PuScHg6
1.0
5.061 0.000 0.000
0.000 6.589 -0.213
0.000 -3.109 5.814
Hg Pu Sc
6 1 1
Direct
0.500 0.922 0.078 Hg
0.500 0.920 0.592 Hg
0.000 0.585 0.415 Hg
0.000 0.077 0.413 Hg
0.000 0.587 0.923 Hg
0.500 0.408 0.080 Hg
0.500 0.415 0.585 Pu
0.000 0.085 0.915 Sc
```

Results
Formation energy, eV per atom: -0.22
Space-group type: Amm2 (38)

[19]
Below is crystalline KAlPb at its relaxed geometry, with properties calculated at the GGA-PBE level.

```
KAlPb
1.0
6.979 -0.005 0.016
0.020 7.837 0.026
-1.657 -2.854 7.596
K Pb Al
4 4 4
Direct
0.048 0.390 0.927 K
0.482 0.040 0.672 K
0.370 0.246 0.286 K
0.556 0.724 0.112 K
0.971 0.184 0.490 Pb
0.723 0.583 0.636 Pb
0.793 0.142 0.106 Pb
0.239 0.611 0.664 Pb
0.018 0.855 0.925 Al
0.941 0.533 0.337 Al
0.073 0.828 0.262 Al
0.949 0.866 0.583 Al
```

Results
Formation energy, eV per atom: 0.04
Space-group type: P1 (1)

[20]
Below is crystalline SmGaGe at its relaxed geometry, with properties calculated at the GGA-PBE level.

```
SmGaGe
1.0
-0.945 1.052 -3.938
3.089 -2.452 -1.397
-3.709 -2.497 2.446
Sm Ge Ga
1 1 1
Direct
0.618 0.618 0.235 Sm
0.267 0.267 0.534 Ge
0.966 0.966 0.931 Ga
```

Results
Formation energy, eV per atom: -0.33
Space-group type: I4mm (107)

[21]
Below is crystalline TlCuMoC2 at its relaxed geometry, with properties calculated at the GGA-PBE level.

```
TlCuMoC2
1.0
3.997 0.000 0.000
0.000 5.740 0.000
0.000 0.000 3.997
C Mo Tl Cu
2 1 1 1
Direct
0.500 0.000 0.000 C
0.000 0.000 0.500 C
0.000 0.000 0.000 Mo
0.000 0.500 0.000 Tl
0.500 0.500 0.500 Cu
```

Results
Formation energy, eV per atom: 1.62
Space-group type: P4/mmm (123)

So what do the calculations give for E? Going down the list: -10.82 -6.06 -5.18 -5.79 -4.72 -1.62 -6.43 -6.43 -3.29 -5.16 -2.59 -1.73 -4.12 -4.30 -2.57 -6.68 -5.96 -3.03 -2.81 -4.46 -5.53 eV/atom.
So what do the calculations give for DOS at the Fermi energy? Going down the list: 24.43 1.06 4.41 1.06 5.02 14.71 1.07 11.59 1.87 4.48 9.71 6.24 2.14 5.72 4.43 4.87 1.65 17.68 1.17 1.76 3.07 states/eV/f.u..